## SbTe2Mo (meta-GGA SCAN)

Data for a PBEsol-optimized structure of SbTe2Mo.

Structure (extended XYZ):
```
8
Lattice="-5.1581 -4.4753 0.8356 6.2087 -2.4275 -2.9975 4.0908 -4.0019 3.8188" Properties=species:S:1:pos:R:3 pbc="T T T"
Sb 2.3038 -7.5717 1.9920
Sb 0.0000 0.0000 0.0000
Mo 2.8375 -3.3331 -0.3352
Mo -0.5337 -4.2386 2.3272
Te 3.2483 -5.8742 -0.3395
Te 7.3097 -6.1259 1.2433
Te -0.6277 -6.8056 2.1601
Te 0.3525 -3.0037 0.2497
```

## Properties
Uncorrected formation energy, meV/atom: 613.3
Theoretical density, g/cm³: 6.08
Space group: I-42d, No. 122
Magnetic moment, μB/f.u.: 0.00
Uncorrected energy, eV per atom: -36.049

=====

## Sb2TeMoW (meta-GGA SCAN)

Data for a PBEsol-optimized structure of Sb2TeMoW.

Structure (extended XYZ):
```
5
Lattice="-1.3518 5.0002 0.0975 -4.8298 -1.3315 1.3187 1.3033 0.2542 5.0302" Properties=species:S:1:pos:R:3 pbc="T T T"
Sb -2.4149 -0.6658 0.6593
Sb -0.6759 2.5001 0.0488
Mo -2.4392 1.9615 3.2232
Te 0.6517 0.1271 2.5151
W 0.0000 0.0000 0.0000
```

## Properties
Uncorrected formation energy, meV/atom: 1340.1
Theoretical density, g/cm³: 7.74
Space group: P4/mmm, No. 123
Magnetic moment, μB/f.u.: 4.78
Uncorrected energy, eV per atom: -41.929

=====

## TlSbMo2 (meta-GGA SCAN)

Data for a PBEsol-optimized structure of TlSbMo2.

Structure (extended XYZ):
```
4
Lattice="-1.3350 -1.8751 4.1523 -4.1036 -2.3651 0.3267 0.0157 -4.7105 0.5920" Properties=species:S:1:pos:R:3 pbc="T T T"
Mo 0.0000 0.0000 0.0000
Mo -4.0671 -6.7131 3.8032
Sb -2.7114 -4.4754 2.5355
Tl -1.3557 -2.2377 1.2677
```

## Properties
Uncorrected formation energy, meV/atom: 833.7
Theoretical density, g/cm³: 11.37
Offset from the most stable computed form, meV/atom: 377
Space group: F-43m, No. 216
Magnetic moment, μB/f.u.: 0.00
Uncorrected energy, eV per atom: -44.014

=====

## Tl4SbMo (meta-GGA SCAN)

Data for a PBEsol-optimized structure of Tl4SbMo.

Structure (extended XYZ):
```
6
Lattice="6.1071 0.0000 0.0000 3.0536 5.2889 0.0000 3.0536 1.7630 4.9864" Properties=species:S:1:pos:R:3 pbc="T T T"
Mo 9.1607 5.2889 3.7398
Sb 0.0000 0.0000 0.0000
Tl 4.5848 2.6471 1.8717
Tl 6.1071 3.5259 4.3576
Tl 7.6294 2.6471 1.8717
Tl 6.1071 5.2837 1.8717
```

## Properties
Uncorrected formation energy, meV/atom: 810.1
Theoretical density, g/cm³: 10.67
Space group: F-43m, No. 216
Magnetic moment, μB/f.u.: 4.37
Uncorrected energy, eV per atom: -59.453

=====

## TlSbMo2 (meta-GGA SCAN)

Data for a PBEsol-optimized structure of TlSbMo2.

Structure (extended XYZ):
```
4
Lattice="3.4117 0.0000 0.0000 0.0000 4.3929 0.0000 -1.7059 0.0000 5.1482" Properties=species:S:1:pos:R:3 pbc="T T T"
Mo 1.7059 0.0000 3.2159
Mo 1.7059 2.1965 1.8332
Sb 0.0000 0.0000 0.9871
Tl 0.0000 2.1965 4.1461
```

## Properties
Uncorrected formation energy, meV/atom: 460.3
Theoretical density, g/cm³: 11.15
Offset from the most stable computed form, meV/atom: 4
Space group: Amm2, No. 38
Magnetic moment, μB/f.u.: 0.00
Uncorrected energy, eV per atom: -44.387

=====

## TlSbMo2 (meta-GGA SCAN)

Data for a PBEsol-optimized structure of TlSbMo2.

Structure (extended XYZ):
```
4
Lattice="-1.0000 1.8240 2.1105 0.6905 -2.6759 1.0695 9.4921 3.1567 1.7695" Properties=species:S:1:pos:R:3 pbc="T T T"
Mo 9.1431 3.0406 1.7044
Mo 7.2134 2.0244 2.9635
Sb 5.1730 1.7203 0.9643
Tl 1.8914 0.2545 1.9714
```

## Properties
Uncorrected formation energy, meV/atom: 456.5
Theoretical density, g/cm³: 10.41
Offset from the most stable computed form, meV/atom: 0
Space group: Cmm2, No. 35
Magnetic moment, μB/f.u.: 0.00
Uncorrected energy, eV per atom: -44.391

=====

## SbMoW2 (meta-GGA SCAN)

Data for a PBEsol-optimized structure of SbMoW2.

Structure (extended XYZ):
```
4
Lattice="3.8417 0.0000 0.0000 0.0000 3.8417 0.0000 0.0000 0.0000 4.5073" Properties=species:S:1:pos:R:3 pbc="T T T"
Mo 1.9208 1.9208 2.2537
Sb 0.0000 0.0000 2.2537
W 0.0000 1.9208 0.0000
W 1.9208 0.0000 0.0000
```

## Properties
Uncorrected formation energy, meV/atom: 622.3
Theoretical density, g/cm³: 14.61
Space group: P4/mmm, No. 123
Magnetic moment, μB/f.u.: 0.00
Uncorrected energy, eV per atom: -52.258

=====

## SbMoW (meta-GGA SCAN)

Data for a PBEsol-optimized structure of SbMoW.

Structure (extended XYZ):
```
3
Lattice="-1.8360 1.5735 -2.2405 -2.4001 0.3730 2.2287 3.9701 3.0654 1.3245" Properties=species:S:1:pos:R:3 pbc="T T T"
Mo -0.2817 4.9775 1.3015
Sb -1.5026 2.3152 0.4323
W 1.2524 2.7310 0.8917
```

## Properties
Uncorrected formation energy, meV/atom: 453.3
Theoretical density, g/cm³: 13.24
Space group: I4mm, No. 107
Magnetic moment, μB/f.u.: 0.00
Uncorrected energy, eV per atom: -46.825

=====

## SbMoW2 (meta-GGA SCAN)

Data for a PBEsol-optimized structure of SbMoW2.

Structure (extended XYZ):
```
4
Lattice="2.8673 -0.0018 0.0000 -0.9764 2.6959 0.0000 0.0000 0.0000 8.8230" Properties=species:S:1:pos:R:3 pbc="T T T"
Mo 0.0000 0.0000 4.5310
Sb 0.9454 1.3470 2.2176
W 0.0000 0.0000 8.7004
W 0.9454 1.3470 6.6083
```

## Properties
Uncorrected formation energy, meV/atom: 547.5
Theoretical density, g/cm³: 14.26
Space group: Cmm2, No. 35
Magnetic moment, μB/f.u.: 0.00
Uncorrected energy, eV per atom: -52.333

=====

## YSb2MoW (meta-GGA SCAN)

Data for a PBEsol-optimized structure of YSb2MoW.

Structure (extended XYZ):
```
5
Lattice="4.8573 0.0000 0.0000 0.0000 5.4373 0.0000 0.0000 0.0000 5.4373" Properties=species:S:1:pos:R:3 pbc="T T T"
Y 0.0000 0.0000 0.0000
Sb 0.0000 0.0000 2.7187
Sb 0.0000 2.7187 0.0000
Mo 2.4287 2.7187 2.7187
W 2.4287 0.0000 0.0000
```

## Properties
Uncorrected formation energy, meV/atom: 2152.2
Theoretical density, g/cm³: 7.08
Space group: P4/mmm, No. 123
Magnetic moment, μB/f.u.: 2.00
Uncorrected energy, eV per atom: -39.235

=====

## YSb2Mo (meta-GGA SCAN)

Data for a PBEsol-optimized structure of YSb2Mo.

Structure (extended XYZ):
```
4
Lattice="-3.1985 -2.7438 -0.5883 2.8057 -3.1108 -0.7456 0.2540 1.8502 5.3775" Properties=species:S:1:pos:R:3 pbc="T T T"
Mo 1.4317 -2.0939 1.9825
Sb 0.0000 0.0000 0.0000
Sb -1.5704 -1.9104 2.0612
Y -0.1964 -2.9273 -0.6669
```

## Properties
Uncorrected formation energy, meV/atom: -66.0
Theoretical density, g/cm³: 8.13
Offset from the most stable computed form, meV/atom: 0
Space group: I-4m2, No. 119
Magnetic moment, μB/f.u.: 2.61
Uncorrected energy, eV per atom: -34.378

=====

## YSbMo2 (meta-GGA SCAN)

Data for a PBEsol-optimized structure of YSbMo2.

Structure (extended XYZ):
```
4
Lattice="-0.2139 -1.3500 2.9269 3.1965 0.2880 0.3665 -0.9834 6.9359 3.1274" Properties=species:S:1:pos:R:3 pbc="T T T"
Mo -0.0455 0.3211 0.1448
Mo 1.2723 1.0135 2.3431
Sb -0.4441 3.1321 1.4122
Y 0.7248 4.8752 4.0843
```

## Properties
Uncorrected formation energy, meV/atom: -24.2
Theoretical density, g/cm³: 8.35
Space group: P4mm, No. 99
Magnetic moment, μB/f.u.: 0.00
Uncorrected energy, eV per atom: -33.743

=====

## YSb2Mo (meta-GGA SCAN)

Data for a PBEsol-optimized structure of YSb2Mo.

Structure (extended XYZ):
```
8
Lattice="-2.9675 -0.2877 3.2143 -3.2125 -0.1527 -2.9795 3.7889 -9.7189 -0.3616" Properties=species:S:1:pos:R:3 pbc="T T T"
Y -1.1343 -5.1134 1.4850
Y -3.0900 -0.2202 0.1174
Sb -2.8897 -2.6628 -1.5861
Sb -2.9408 -2.7471 1.6988
Sb 2.1632 -7.3397 -0.1547
Sb -1.1148 -7.5688 -0.2116
Mo -1.2568 -5.0459 -1.6119
Mo 0.0000 0.0000 0.0000
```

## Properties
Uncorrected formation energy, meV/atom: 259.2
Theoretical density, g/cm³: 7.43
Offset from the most stable computed form, meV/atom: 325
Space group: I-42d, No. 122
Magnetic moment, μB/f.u.: 1.58
Uncorrected energy, eV per atom: -34.053

=====

## YSbMo2 (meta-GGA SCAN)

Data for a PBEsol-optimized structure of YSbMo2.

Structure (extended XYZ):
```
4
Lattice="-3.7223 0.1317 2.4195 0.8857 -4.1711 -2.4871 1.4183 -3.4775 2.3712" Properties=species:S:1:pos:R:3 pbc="T T T"
Mo 0.0000 0.0000 0.0000
Mo -0.1332 -2.9220 -0.0459
Sb -1.1520 -1.6729 2.3954
Y -1.2851 -4.5949 2.3495
```

## Properties
Uncorrected formation energy, meV/atom: 186.6
Theoretical density, g/cm³: 8.90
Space group: I-4m2, No. 119
Magnetic moment, μB/f.u.: 0.02
Uncorrected energy, eV per atom: -33.532

=====

## YSbMo (meta-GGA SCAN)

Data for a PBEsol-optimized structure of YSbMo.

Structure (extended XYZ):
```
3
Lattice="4.6400 0.0000 0.0000 2.3200 4.0184 0.0000 2.3200 1.3395 3.7886" Properties=species:S:1:pos:R:3 pbc="T T T"
Mo 2.3200 1.3395 0.9471
Sb 0.0000 0.0000 0.0000
Y 4.6400 2.6789 1.8943
```

## Properties
Uncorrected formation energy, meV/atom: 275.3
Theoretical density, g/cm³: 7.21
Offset from the most stable computed form, meV/atom: 348
Space group: F-43m, No. 216
Magnetic moment, μB/f.u.: 0.00
Uncorrected energy, eV per atom: -33.054

=====

## YSbMo (meta-GGA SCAN)

Data for a PBEsol-optimized structure of YSbMo.

Structure (extended XYZ):
```
3
Lattice="3.6282 0.0000 0.0000 0.0000 4.6077 0.0000 0.0000 -2.3039 3.9904" Properties=species:S:1:pos:R:3 pbc="T T T"
Mo 0.0000 0.0000 0.0000
Sb 0.0000 0.0000 2.6603
Y 1.8141 2.3039 1.3301
```

## Properties
Uncorrected formation energy, meV/atom: -72.9
Theoretical density, g/cm³: 7.63
Offset from the most stable computed form, meV/atom: 0
Space group: P-6m2, No. 187
Magnetic moment, μB/f.u.: 1.09
Uncorrected energy, eV per atom: -33.402

=====

## YSb2Mo (meta-GGA SCAN)

Data for a PBEsol-optimized structure of YSb2Mo.

Structure (extended XYZ):
```
4
Lattice="-2.2272 -0.4845 2.5560 -1.8841 -2.8577 0.1108 5.2262 -5.2710 5.8493" Properties=species:S:1:pos:R:3 pbc="T T T"
Mo 0.1867 -2.0953 2.0598
Sb -3.8533 -3.5048 2.8609
Sb 0.8347 -6.4590 6.3860
Y 0.3927 -4.2028 4.1342
```

## Properties
Uncorrected formation energy, meV/atom: 119.9
Theoretical density, g/cm³: 7.58
Offset from the most stable computed form, meV/atom: 186
Space group: R3m, No. 160
Magnetic moment, μB/f.u.: 0.38
Uncorrected energy, eV per atom: -34.192

=====

## ZnSb2Mo (meta-GGA SCAN)

Data for a PBEsol-optimized structure of ZnSb2Mo.

Structure (extended XYZ):
```
4
Lattice="-1.6710 3.0854 -0.3014 -3.6237 -1.7303 2.3775 4.5594 0.7438 2.9107" Properties=species:S:1:pos:R:3 pbc="T T T"
Mo -0.9161 -0.1993 3.0386
Sb -0.7606 2.0801 4.9346
Sb 0.1713 2.2911 1.9286
Zn -2.6126 0.7033 1.1097
```

## Properties
Uncorrected formation energy, meV/atom: 472.6
Theoretical density, g/cm³: 8.87
Space group: Imm2, No. 44
Magnetic moment, μB/f.u.: 0.00
Uncorrected energy, eV per atom: -30.258

=====

## ZnSb2Mo (meta-GGA SCAN)

Data for a PBEsol-optimized structure of ZnSb2Mo.

Structure (extended XYZ):
```
4
Lattice="3.4974 0.0000 0.0000 0.0000 4.4032 0.0000 0.0000 0.0000 5.0235" Properties=species:S:1:pos:R:3 pbc="T T T"
Mo 0.0000 2.2016 2.5118
Sb 0.0000 0.0000 0.0000
Sb 1.7487 0.0000 2.5118
Zn 1.7487 2.2016 0.0000
```

## Properties
Uncorrected formation energy, meV/atom: 630.6
Theoretical density, g/cm³: 8.69
Space group: Pmmm, No. 47
Magnetic moment, μB/f.u.: 0.00
Uncorrected energy, eV per atom: -30.100

=====

## ZnSb2Mo (meta-GGA SCAN)

Data for a PBEsol-optimized structure of ZnSb2Mo.

Structure (extended XYZ):
```
4
Lattice="3.7804 0.0000 0.0000 0.0000 4.9351 0.0000 -1.8902 -2.4676 4.0571" Properties=species:S:1:pos:R:3 pbc="T T T"
Mo 0.0000 2.4676 0.0000
Sb 1.8902 2.4676 2.1579
Sb 0.0000 0.0000 1.8991
Zn 1.8902 0.0000 0.0000
```

## Properties
Uncorrected formation energy, meV/atom: 417.8
Theoretical density, g/cm³: 8.88
Space group: Immm, No. 71
Magnetic moment, μB/f.u.: 0.00
Uncorrected energy, eV per atom: -30.313